(1)
Entry from Alexandria via LeMat-Bulk: a relaxed Pr2Mg2InRh5 crystal (GGA-PBE).

Lattice parameters (Å, degrees): 10.135 10.135 3.646 90.00 90.00 90.00
Atoms (fractional coordinates):
Pr (0.177, 0.323, 0.000)
Pr (0.323, 0.823, 0.000)
Pr (0.677, 0.177, 0.000)
Pr (0.823, 0.677, 0.000)
Mg (0.123, 0.623, 0.000)
Mg (0.377, 0.123, 0.000)
Mg (0.623, 0.877, 0.000)
Mg (0.877, 0.377, 0.000)
In (0.000, 0.000, 0.000)
In (0.500, 0.500, 0.000)
Rh (0.000, 0.500, 0.500)
Rh (0.060, 0.796, 0.500)
Rh (0.204, 0.060, 0.500)
Rh (0.296, 0.560, 0.500)
Rh (0.440, 0.296, 0.500)
Rh (0.500, 0.000, 0.500)
Rh (0.560, 0.704, 0.500)
Rh (0.704, 0.440, 0.500)
Rh (0.796, 0.940, 0.500)
Rh (0.940, 0.204, 0.500)

Output
As for the space group: P4/mbm. For the formation energy, the calculation gives -428 meV per atom.

***

(2)
Entry from Alexandria via LeMat-Bulk: a relaxed Sc2TlAu crystal (GGA-PBE).

Lattice parameters (Å, degrees): 4.938 4.938 4.938 60.00 60.00 60.00
Atoms (fractional coordinates):
Sc (0.000, 0.000, 0.000)
Sc (0.250, 0.250, 0.250)
Tl (0.500, 0.500, 0.500)
Au (0.750, 0.750, 0.750)

Output
As for the space group: F-43m. For the formation energy, the calculation gives -159 meV per atom.

***

(3)
Entry from Alexandria via LeMat-Bulk: a relaxed KNa2Te4As crystal (GGA-PBE).

Lattice parameters (Å, degrees): 9.259 9.259 9.259 131.39 110.28 89.56
Atoms (fractional coordinates):
K (0.000, 0.000, 0.000)
K (0.500, 0.000, 0.500)
Na (0.000, 0.500, 0.500)
Na (0.500, 0.000, 0.000)
Na (0.500, 0.500, 0.000)
Na (0.500, 0.500, 0.500)
Te (0.211, 0.748, 0.463)
Te (0.216, 0.252, 0.963)
Te (0.227, 0.283, 0.557)
Te (0.227, 0.670, 0.943)
Te (0.773, 0.330, 0.057)
Te (0.773, 0.717, 0.443)
Te (0.784, 0.748, 0.037)
Te (0.789, 0.252, 0.537)
As (0.000, 0.000, 0.500)
As (0.000, 0.500, 0.000)

Output
As for the space group: Imma. For the uncorrected formation energy, the calculation gives -423 meV per atom.

***

Number 1: magnetic moment 0.00 Bohr magnetons per cell. Number 2: magnetic moment 1.93 Bohr magnetons per cell. Number 3: magnetic moment 0.00 Bohr magnetons per cell.